{
  "formula": "Nd2DyHg8",
  "functional": "PBE-GGA",
  "state": "relaxed",
  "lattice": [[-2.0935, 4.6262, 0.0727], [-2.1252, -1.0697, 6.8749], [8.3700, 1.0027, -0.1542]],
  "species": ["Nd", "Nd", "Dy", "Hg", "Hg", "Hg", "Hg", "Hg", "Hg", "Hg", "Hg"],
  "frac_coords": [[0.7900, 0.3438, 0.5800], [0.2100, 0.6562, 0.4200], [0.5000, 0.0000, 0.0000], [0.4059, 0.5530, 0.8119], [0.6663, 0.8923, 0.3327], [0.8484, 0.8361, 0.6967], [0.9809, 0.2709, 0.9618], [0.1516, 0.1639, 0.3033], [0.3337, 0.1077, 0.6673], [0.5941, 0.4470, 0.1881], [0.0191, 0.7291, 0.0382]],
  "spacegroup": "No. 12",
  "magmom_total_mub_per_cell": 0.00,
  "formation_energy_ev_per_fu": -3.8,
  "energy_ev_per_atom": -1.849
}